No. 1
VASP calculation (PBE) on EuZnPb after structural relaxation.

Energy relative to the elements ... -0.36 eV/atom
Space group ... F-43m

```
EuZnPb
1.0
0.000 3.477 3.477
3.477 0.000 3.477
3.477 3.477 0.000
Eu Zn Pb
1 1 1
Direct
0.000 0.000 0.000 Eu
0.250 0.250 0.250 Zn
0.500 0.500 0.500 Pb
```

=====

No. 2
VASP calculation (PBE) on LaHf2CoPt after structural relaxation.

Energy relative to the elements ... 0.06 eV/atom
Space group ... P4/mmm

```
LaHf2CoPt
1.0
4.761 0.000 0.000
0.000 4.761 0.000
0.000 0.000 5.086
La Hf Co Pt
1 2 1 1
Direct
0.000 0.000 0.000 La
0.000 0.500 0.500 Hf
0.500 0.000 0.500 Hf
0.000 0.000 0.500 Co
0.500 0.500 0.000 Pt
```

=====

No. 3
VASP calculation (PBE) on Sm2DyTm after structural relaxation.

Energy relative to the elements ... 0.12 eV/atom
Space group ... Imm2
Distance to the lowest polymorph of the same formula ... 0.40 eV per formula unit

```
Sm2DyTm
1.0
-1.864 2.929 5.952
1.864 -2.929 5.952
1.864 2.929 -5.952
Sm Dy Tm
2 1 1
Direct
0.000 0.000 0.000 Sm
0.735 0.235 0.500 Sm
0.480 0.480 0.000 Dy
0.243 0.743 0.500 Tm
```

=====

No. 4
VASP calculation (PBE) on La3Ce4PrTe8 after structural relaxation.

Space group ... R-3m
Uncorrected formation energy ... -23.4 eV per formula unit

```
La3Ce4PrTe8
1.0
4.511 2.605 7.469
-4.511 2.605 7.469
0.000 -5.209 7.469
La Ce Pr Te
3 4 1 8
Direct
0.000 0.500 0.500 La
0.500 0.000 0.500 La
0.500 0.500 0.000 La
0.000 0.000 0.500 Ce
0.000 0.500 0.000 Ce
0.500 0.000 0.000 Ce
0.500 0.500 0.500 Ce
0.000 0.000 0.000 Pr
0.247 0.749 0.749 Te
0.248 0.248 0.248 Te
0.251 0.251 0.753 Te
0.251 0.753 0.251 Te
0.749 0.247 0.749 Te
0.749 0.749 0.247 Te
0.752 0.752 0.752 Te
0.753 0.251 0.251 Te
```

=====

Number 1: mass density 8386 kg/m3, V 28.02 Å³/atom, total magnetic moment 2.3283 μB per atom. Number 2: mass density 10799 kg/m3, V 23.06 Å³/atom, total magnetic moment 0.0000 μB per atom. Number 3: mass density 8077 kg/m3, V 32.49 Å³/atom, total magnetic moment 0.0000 μB per atom. Number 4: mass density 6745 kg/m3, V 32.91 Å³/atom, total magnetic moment 0.2928 μB per atom.